First-principles (PBE) data for an optimized crystal structure of TlCdGa, as listed in Alexandria via LeMat-Bulk.

The structure in CIF format:
```
data_TlCdGa
_chemical_formula_sum 'Tl2 Cd2 Ga2'
_cell_length_a 4.4323
_cell_length_b 4.4323
_cell_length_c 7.7084
_cell_angle_alpha 90.00
_cell_angle_beta 90.00
_cell_angle_gamma 90.00
_space_group_name_H-M_alt 'P 4/n m m'
_space_group_IT_number 129
loop_
_space_group_symop_operation_xyz
'x,y,z'
'-x,-y,-z'
'-y+1/2,x,z'
'y+1/2,-x,-z'
'-x+1/2,-y+1/2,z'
'x+1/2,y+1/2,-z'
'y,-x+1/2,z'
'-y,x+1/2,-z'
'x+1/2,-y,-z'
'-x+1/2,y,z'
'-y,-x,-z'
'y,x,z'
'-x,y+1/2,-z'
'x,-y+1/2,z'
'y+1/2,x+1/2,-z'
'-y+1/2,-x+1/2,z'
loop_
_atom_site_label
_atom_site_type_symbol
_atom_site_fract_x
_atom_site_fract_y
_atom_site_fract_z
_atom_site_occupancy
Tl1 Tl 0.2500 0.2500 0.1441 1
Cd1 Cd 0.2500 0.7500 0.5000 1
Ga1 Ga 0.2500 0.2500 0.7499 1
```

## Properties
- Raw total energy: -2.04 eV/atom
- Magnetization: 0.000 μB/atom
- Density: 8.5 g/cm³
- DFT formation energy: 0.06 eV/atom

First-principles (PBE) data for an optimized crystal structure of Tl3CdGa, as listed in Alexandria via LeMat-Bulk.

The structure in CIF format:
```
data_Tl3CdGa
_chemical_formula_sum 'Tl3 Cd1 Ga1'
_cell_length_a 5.5294
_cell_length_b 5.5294
_cell_length_c 5.5294
_cell_angle_alpha 90.00
_cell_angle_beta 90.00
_cell_angle_gamma 90.00
_space_group_name_H-M_alt 'P m -3 m'
_space_group_IT_number 221
_space_group_name_Hall '-P 4 2 3'
loop_
_atom_site_label
_atom_site_type_symbol
_atom_site_fract_x
_atom_site_fract_y
_atom_site_fract_z
_atom_site_occupancy
Tl1 Tl 0.0000 0.0000 0.5000 1
Cd1 Cd 0.5000 0.5000 0.5000 1
Ga1 Ga 0.0000 0.0000 0.0000 1
```

## Properties
- ΔE to the lowest computed polymorph: 0 meV/atom
- Raw total energy: -1.96 eV/atom
- Magnetization: 0.000 μB/atom
- Density: 7.8 g/cm³
- DFT formation energy: 0.25 eV/atom

First-principles (PBE) data for an optimized crystal structure of TlCdGa3, as listed in Alexandria via LeMat-Bulk.

The structure in CIF format:
```
data_TlCdGa3
_chemical_formula_sum 'Tl4 Cd4 Ga12'
_cell_length_a 5.3582
_cell_length_b 7.7756
_cell_length_c 11.0598
_cell_angle_alpha 90.00
_cell_angle_beta 90.00
_cell_angle_gamma 90.00
_space_group_name_H-M_alt 'I m m a'
_space_group_IT_number 74
_space_group_name_Hall '-I 2b 2'
loop_
_atom_site_label
_atom_site_type_symbol
_atom_site_fract_x
_atom_site_fract_y
_atom_site_fract_z
_atom_site_occupancy
Tl1 Tl 0.0000 0.2500 0.0009 1
Cd1 Cd 0.0000 0.0000 0.5000 1
Ga1 Ga 0.0000 0.2500 0.2953 1
Ga2 Ga 0.2500 0.0740 0.7500 1
```

## Properties
- ΔE to the lowest computed polymorph: 0 meV/atom
- Raw total energy: -2.42 eV/atom
- Magnetization: 0.000 μB/atom
- Density: 7.6 g/cm³
- DFT formation energy: 0.06 eV/atom